1.
The following is a DFT calculation (PBE) of an optimized crystal structure of Ti2CoSbAu.

The magnetization comes out at 0.925 Bohr magnetons per cell. For the formation energy without anion corrections, the calculation gives 1.30 eV per atom.

Cell and atoms, written as CIF:
```
data_Ti2CoSbAu
_chemical_formula_sum 'Ti2 Co1 Sb1 Au1'
_cell_length_a 4.879
_cell_length_b 4.879
_cell_length_c 5.144
_cell_angle_alpha 90.00
_cell_angle_beta 90.00
_cell_angle_gamma 90.00
_symmetry_space_group_name_H-M 'P 4/m m m'
_symmetry_Int_Tables_number 123
_symmetry_space_group_name_Hall '-P 4 2'
loop_
_atom_site_label
_atom_site_fract_x
_atom_site_fract_y
_atom_site_fract_z
Ti1 0.000 0.500 0.000
Co1 0.000 0.000 0.500
Sb1 0.500 0.500 0.500
Au1 0.500 0.500 0.000
```

2.
The following is a DFT calculation (PBE) of an optimized crystal structure of Sm4Dy7Mg.

The magnetization comes out at 0.000 Bohr magnetons per cell. The value obtained for the formation energy is 0.024 eV per atom.

Cell and atoms, written as CIF:
```
data_Sm4Dy7Mg
_chemical_formula_sum 'Sm4 Dy7 Mg1'
_cell_length_a 6.155
_cell_length_b 7.087
_cell_length_c 9.390
_cell_angle_alpha 101.09
_cell_angle_beta 96.33
_cell_angle_gamma 106.57
_symmetry_space_group_name_H-M 'P 1'
_symmetry_Int_Tables_number 1
loop_
_symmetry_equiv_pos_as_xyz
'x,y,z'
loop_
_atom_site_label
_atom_site_fract_x
_atom_site_fract_y
_atom_site_fract_z
Sm1 0.000 0.000 0.000
Sm2 0.002 0.336 0.330
Sm3 0.495 0.088 0.829
Sm4 0.503 0.420 0.165
Dy1 0.003 0.839 0.333
Dy2 0.498 0.920 0.166
Dy3 0.499 0.586 0.828
Dy4 0.500 0.253 0.497
Dy5 0.997 0.667 0.661
Dy6 0.998 0.170 0.663
Dy7 0.999 0.504 0.992
Mg1 0.502 0.755 0.498
```

3.
The following is a DFT calculation (PBE) of an optimized crystal structure of YSiHg.

The magnetization comes out at 0.000 Bohr magnetons per cell. For the formation energy without anion corrections, the calculation gives -0.25 eV per atom. The energy relative to the lowest polymorph listed for this composition is 289 meV/atom.

Cell and atoms, written as CIF:
```
data_YSiHg
_chemical_formula_sum 'Y4 Si4 Hg4'
_cell_length_a 6.601
_cell_length_b 6.601
_cell_length_c 6.601
_cell_angle_alpha 90.00
_cell_angle_beta 90.00
_cell_angle_gamma 90.00
_symmetry_space_group_name_H-M 'F -4 3 m'
_symmetry_Int_Tables_number 216
_symmetry_space_group_name_Hall 'F -4 2 3'
loop_
_atom_site_label
_atom_site_fract_x
_atom_site_fract_y
_atom_site_fract_z
Y1 0.000 0.000 0.000
Si1 0.250 0.250 0.250
Hg1 0.000 0.000 0.500
```

Q: Which value of magnetization does entry 1 give?
A: 0.925 Bohr magnetons per cell